Here is Li4Mn3Sn2Sb3O16 after structural relaxation from Alexandria via LeMat-Bulk. Energies are from GGA+U.

a b c (Å): 6.290 6.290 9.960
angles (deg): 89.30 89.30 59.72
Sites, in units of the cell vectors:
Li1 0.659 0.659 0.108
Li2 0.988 0.988 0.016
Li3 0.323 0.323 0.595
Li4 0.997 0.997 0.501
O1 0.513 0.957 0.665
O2 0.483 0.483 0.146
O3 0.661 0.661 0.893
O4 0.468 0.032 0.154
O5 0.844 0.844 0.412
O6 0.856 0.333 0.407
O7 0.016 0.016 0.195
O8 0.322 0.322 0.398
O9 0.517 0.517 0.660
O10 0.032 0.468 0.154
O11 0.159 0.680 0.897
O12 0.159 0.159 0.897
O13 0.333 0.856 0.407
O14 0.957 0.513 0.665
O15 0.000 0.000 0.687
O16 0.680 0.159 0.897
Sn1 0.681 0.681 0.501
Sn2 0.340 0.340 0.018
Sb1 0.175 0.175 0.286
Sb2 0.336 0.829 0.785
Sb3 0.829 0.336 0.785
Mn1 0.829 0.829 0.786
Mn2 0.177 0.665 0.288
Mn3 0.665 0.177 0.288

## Properties
- E_tot (Ry/atom) = -0.4557